UNiPtO6 PBE+U relaxed; mass density = 8.87 Mg/m³; symmetry = No. 102; uncorrected energy = -131.11 eV for the cell shown
1.0
-3.881 2.221 -1.760
-2.027 -4.262 -0.907
-3.925 0.020 8.682
U Ni Pt O
2 2 2 12
direct
0.500 0.500 0.500
0.000 0.000 0.000
0.500 0.500 0.168
0.000 0.000 0.668
0.500 0.500 0.833
0.000 0.000 0.333
0.188 0.812 0.497
0.812 0.188 0.497
0.312 0.312 0.997
0.688 0.688 0.997
0.195 0.805 0.169
0.805 0.195 0.169
0.305 0.305 0.669
0.695 0.695 0.669
0.799 0.201 0.834
0.201 0.799 0.834
0.701 0.701 0.334
0.299 0.299 0.334